Record 1
Computed, not measured: a geometry-optimized SmHg3Pd2 structure at the PBE level of DFT.

POSCAR file:
```
SmHg3Pd2
1.0
3.347 -5.105 0.000
3.347 5.105 0.000
-0.539 0.000 7.812
Sm Hg Pd
2 6 4
direct
0.084 0.916 0.750
0.916 0.084 0.250
0.214 0.450 0.596
0.299 0.701 0.250
0.450 0.214 0.096
0.550 0.786 0.904
0.701 0.299 0.750
0.786 0.550 0.404
0.124 0.367 0.949
0.367 0.124 0.449
0.633 0.876 0.551
0.876 0.633 0.051
```

## Properties
As for the space-group type: C2/c, No. 15. The value obtained for the volume is 267.0 Å³ per cell. The calculation puts the raw total energy at -3.020 eV per atom.

=====

Record 2
Computed, not measured: a geometry-optimized FeCu2Pb structure at the PBE level of DFT.

POSCAR file:
```
FeCu2Pb
1.0
3.927 0.000 0.000
0.000 3.927 0.000
0.000 0.000 4.000
Fe Cu Pb
1 2 1
direct
0.000 0.000 0.000
0.000 0.500 0.500
0.500 0.000 0.500
0.500 0.500 0.000
```

## Properties
As for the space-group type: P4/mmm, No. 123. The value obtained for the volume is 61.7 Å³ per cell. The calculation puts the raw total energy at -4.713 eV per atom.

=====

Record 3
Computed, not measured: a geometry-optimized Sr2TlW structure at the PBE level of DFT.

POSCAR file:
```
Sr2TlW
1.0
0.000 3.957 3.957
3.957 0.000 3.957
3.957 3.957 0.000
Sr Tl W
2 1 1
direct
0.250 0.250 0.250
0.750 0.750 0.750
0.000 0.000 0.000
0.500 0.500 0.500
```

## Properties
As for the space-group type: Fm-3m, No. 225. The energy above the most stable polymorph in this dataset comes out at 0.461 eV per formula unit. The value obtained for the volume is 123.9 Å³ per cell. The calculation puts the raw total energy at -3.841 eV per atom.